No. 1
Tc2NiHRu | PBE | relaxed

Geometry as POSCAR:
```
Tc2NiHRu
1.0
3.832 0.000 0.000
0.000 3.832 0.000
0.000 0.000 3.865
Tc Ni H Ru
2 1 1 1
Direct
0.000 0.500 0.000
0.500 0.000 0.000
0.000 0.000 0.500
0.500 0.500 0.000
0.500 0.500 0.500
```

Calculated values
The value obtained for the energy relative to the lowest polymorph listed for this composition is 12 meV/atom. Its crystal system is tetragonal.

=====

No. 2
DyY4Ho | PBE | relaxed

Geometry as POSCAR:
```
DyY4Ho
1.0
5.431 0.000 0.000
0.000 5.431 0.000
0.000 0.000 7.691
Dy Y Ho
1 4 1
Direct
0.000 0.000 0.000
0.000 0.500 0.250
0.000 0.500 0.750
0.500 0.000 0.250
0.500 0.000 0.750
0.500 0.500 0.500
```

Calculated values
The value obtained for the energy relative to the lowest polymorph listed for this composition is 581 meV/atom. Its crystal system is tetragonal.

=====

No. 3
CaAlCu2 | PBE | relaxed

Geometry as POSCAR:
```
CaAlCu2
1.0
5.586 0.000 0.000
0.000 5.048 0.000
0.000 0.000 11.600
Ca Al Cu
4 4 8
Direct
0.250 0.000 0.095
0.250 0.500 0.376
0.750 0.000 0.905
0.750 0.500 0.624
0.250 0.000 0.807
0.250 0.500 0.824
0.750 0.000 0.193
0.750 0.500 0.176
0.000 0.000 0.500
0.000 0.500 0.000
0.250 0.257 0.633
0.250 0.743 0.633
0.500 0.000 0.500
0.500 0.500 0.000
0.750 0.257 0.367
0.750 0.743 0.367
```

Calculated values
The final energy comes out at -56.2 eV per cell. Its crystal system is orthorhombic.

=====

No. 4
YAgHO2 | PBE | relaxed

Geometry as POSCAR:
```
YAgHO2
1.0
4.380 0.000 0.000
0.000 4.380 0.000
0.000 0.000 4.095
Y Ag H O
1 1 1 2
Direct
0.000 0.000 0.000
0.500 0.500 0.500
0.000 0.000 0.500
0.000 0.500 0.000
0.500 0.000 0.000
```

Calculated values
The final energy comes out at -27.3 eV per cell. Its crystal system is tetragonal.

=====

No. 5
KZn2Pb | PBE | relaxed

Geometry as POSCAR:
```
KZn2Pb
1.0
5.094 0.000 0.000
0.000 5.094 0.000
0.000 0.000 4.184
K Zn Pb
1 2 1
Direct
0.000 0.000 0.000
0.000 0.500 0.500
0.500 0.000 0.500
0.500 0.500 0.000
```

Calculated values
The value obtained for the energy relative to the lowest polymorph listed for this composition is 191 meV/atom. Its crystal system is tetragonal.

=====

No. 6
RbDyPb2 | PBE | relaxed

Geometry as POSCAR:
```
RbDyPb2
1.0
4.137 0.000 0.000
0.000 4.137 0.000
0.000 0.000 8.371
Rb Dy Pb
1 1 2
Direct
0.000 0.000 0.000
0.000 0.000 0.500
0.500 0.500 0.312
0.500 0.500 0.688
```

Calculated values
The value obtained for the energy relative to the lowest polymorph listed for this composition is 0 meV/atom. Its crystal system is tetragonal.

=====

No. 7
Hf2TlTe | PBE | relaxed

Geometry as POSCAR:
```
Hf2TlTe
1.0
0.000 3.561 3.561
3.561 0.000 3.561
3.561 3.561 0.000
Hf Tl Te
2 1 1
Direct
0.250 0.250 0.250
0.750 0.750 0.750
0.000 0.000 0.000
0.500 0.500 0.500
```

Calculated values
The value obtained for the energy relative to the lowest polymorph listed for this composition is 0 meV/atom. Its crystal system is cubic. For the uncorrected formation energy, the calculation gives 0.06 eV per formula unit.